# 1
Entry from Alexandria: an optimized crystal structure of Na4Hf3AgTe8 (GGA-PBE).

Results
**Magnetic moment**: 0.00 μB/f.u.
**Formation energy from raw total energies**: -0.758 eV per atom

Cell lengths 8.4286, 8.9860, 8.4309 Å; angles 118.00, 119.99, 90.00 degrees
Closest atoms and distances in Å follow each position.
Fractional coordinates of all 16 atoms:
Na 0.5000 0.0000 0.0000  6 Te 3.18
Na 0.5000 0.0000 0.5000  6 Te 3.22-3.26
Na 0.0000 0.0000 0.0000  6 Te 3.22-3.26
Na 0.0000 0.0000 0.5000  6 Te 3.22-3.26
Hf 0.5000 0.5000 0.0000  6 Te 2.91-2.95
Hf 0.5000 0.5000 0.5000  6 Te 2.91-2.95
Hf 0.0000 0.5000 0.5000  6 Te 2.91-2.95
Ag 0.0000 0.5000 0.0000  6 Te 2.99-3.00
Te 0.2441 0.7188 0.9748  2 Hf 2.91-2.92, 1 Ag 2.99, 3 Na 3.18-3.26
Te 0.2442 0.7189 0.4884  2 Hf 2.91, 1 Ag 3.00, 3 Na 3.18-3.26
Te 0.2595 0.2786 0.5190  3 Hf 2.95, 3 Na 3.22
Te 0.7308 0.7188 0.9748  2 Hf 2.91-2.92, 1 Ag 2.99, 3 Na 3.18-3.26
Te 0.2692 0.2812 0.0252  2 Hf 2.91-2.92, 1 Ag 2.99, 3 Na 3.18-3.26
Te 0.7405 0.7214 0.4810  3 Hf 2.95, 3 Na 3.22
Te 0.7558 0.2811 0.5116  2 Hf 2.91, 1 Ag 3.00, 3 Na 3.18-3.26
Te 0.7559 0.2812 0.0252  2 Hf 2.91-2.92, 1 Ag 2.99, 3 Na 3.18-3.26


# 2
Entry from Alexandria: an optimized crystal structure of BaCaSc4 (GGA-PBE).

Results
**Magnetic moment**: 0.00 μB/f.u.
**Formation enthalpy at 0 K**: 1.91 eV/f.u.

Cell lengths 6.5406, 6.5406, 6.5406 Å; angles 60.00, 60.00, 60.00 degrees
Closest atoms and distances in Å follow each position.
Fractional coordinates of all 6 atoms:
Ba 0.7500 0.7500 0.7500  12 Sc 3.85, 4 Ca 4.01
Ca 0.0000 0.0000 0.0000  12 Sc 3.82, 4 Ba 4.01
Sc 0.8861 0.3713 0.3713  6 Sc 3.17-3.37
Sc 0.3713 0.3713 0.8861  6 Sc 3.17-3.37
Sc 0.3713 0.8861 0.3713  6 Sc 3.17-3.37
Sc 0.3713 0.3713 0.3713  6 Sc 3.17-3.37


# 3
Entry from Alexandria: an optimized crystal structure of TbDyTlTe (GGA-PBE).

Results
**Magnetic moment**: 0.00 μB/f.u.
**Formation energy from raw total energies**: -0.779 eV per atom

Cell lengths 4.3878, 4.3878, 6.2250 Å; angles 90.00, 90.00, 90.00 degrees
Closest atoms and distances in Å follow each position.
Fractional coordinates of all 4 atoms:
Tb 0.5000 0.5000 0.0000  4 Tl 3.10, 2 Te 3.11
Dy 0.0000 0.0000 0.5000  4 Te 3.10, 2 Tl 3.11
Tl 0.0000 0.0000 0.0000  4 Tb 3.10, 2 Dy 3.11
Te 0.5000 0.5000 0.5000  4 Dy 3.10, 2 Tb 3.11


Result set for density of states at the Fermi level: 4.92 13.64 3.57 states/eV/cell, one per record in the order listed.